Arrangement w

Here is a relaxed Cd2Ag2Rh crystal from the Alexandria database. Energies are from PBE-GGA.

Cell and atoms, written as extended XYZ:
```
5
Lattice="-1.8510 1.8510 7.2993 1.8510 -1.8510 7.2993 1.8510 1.8510 -7.2993" Properties=species:S:1:pos:R:3 pbc="T T T"
Cd 0.0000 0.0000 8.6772
Cd 0.0000 0.0000 5.9213
Ag 1.8510 0.0000 3.6496
Ag 0.0000 1.8510 3.6496
Rh 0.0000 0.0000 0.0000
```

Arrangement x

Here is a relaxed Cd2Ag2Rh crystal from the Alexandria database. Energies are from PBE-GGA.

Cell and atoms, written as extended XYZ:
```
5
Lattice="3.0151 0.0000 0.0000 0.0000 3.7537 0.7112 0.0000 0.3703 8.3070" Properties=species:S:1:pos:R:3 pbc="T T T"
Cd 1.5076 1.6011 1.8111
Cd 1.5076 2.5229 7.2072
Ag 0.0000 0.9354 5.3244
Ag 0.0000 3.1886 3.6938
Rh 0.0000 0.0000 0.0000
```

Computed relative energies in units of meV/atom: arrangement w 223; arrangement x 0

Arrangement w

Here is a relaxed Cd2Ag2Rh crystal from the Alexandria database. Energies are from PBE-GGA.

Cell and atoms, written as extended XYZ:
```
10
Lattice="7.2472 0.0000 0.0000 0.0000 7.2472 0.0000 0.0000 0.0000 3.6595" Properties=species:S:1:pos:R:3 pbc="T T T"
Rh 0.0000 0.0000 0.0000
Rh 3.6236 3.6236 0.0000
Ag 1.1642 4.7878 1.8298
Ag 4.7878 6.0830 1.8298
Ag 6.0830 2.4594 1.8298
Ag 2.4594 1.1642 1.8298
Cd 2.5886 6.2122 0.0000
Cd 6.2122 4.6587 0.0000
Cd 4.6587 1.0350 0.0000
Cd 1.0350 2.5886 0.0000
```

Arrangement x

Here is a relaxed Cd2Ag2Rh crystal from the Alexandria database. Energies are from PBE-GGA.

Cell and atoms, written as extended XYZ:
```
10
Lattice="-0.7357 4.1940 -6.1298 -7.1434 1.2870 1.7380 0.9252 2.7471 1.7685" Properties=species:S:1:pos:R:3 pbc="T T T"
Rh 0.0000 0.0000 0.0000
Rh -3.9396 2.7405 -2.1959
Ag -6.4825 2.6683 -0.7535
Ag -5.1442 4.4579 -4.2335
Ag -1.3967 2.8127 -3.6384
Ag -2.7350 1.0231 -0.1584
Cd -4.4638 2.9594 0.9981
Cd -5.9470 5.2574 -1.7954
Cd -2.4902 5.2687 -3.6215
Cd -1.0070 2.9708 -0.8279
```

Computed relative energies in units of meV/atom: arrangement w 21; arrangement x 0